[1]
10
Lattice="2.669 1.541 4.334 -2.669 1.541 4.334 0.000 -3.082 4.334" Properties=species:S:1:pos:R:3 comment="PBEsol LaCeAl2O6, relaxed" formation_energy_uncorrected_ev_per_fu=-33.0 de_polymorph_ev_per_fu=0.00 dft_energy_ev_per_atom=-8.46 vol_a3_per_atom=10.69 pbc="T T T"
La 0.000 0.000 0.000
Ce 0.000 0.000 6.501
Al 0.000 0.000 3.252
Al 0.000 0.000 9.750
O -1.435 -0.596 4.334
O -1.223 -2.119 6.501
O 1.234 -0.944 4.334
O -1.223 2.119 6.501
O 0.201 1.541 4.334
O 2.447 0.000 6.501

[2]
5
Lattice="4.493 0.000 0.000 0.000 4.493 0.000 0.000 0.000 4.493" Properties=species:S:1:pos:R:3 comment="PBEsol NbZnW3, relaxed" ef_ev_per_atom=1.8359 de_polymorph_ev_per_fu=0.00 dft_energy_ev_per_atom=-8.93 vol_a3_per_atom=18.13 pbc="T T T"
Nb 0.000 0.000 0.000
Zn 2.246 2.246 2.246
W 0.000 2.246 2.246
W 2.246 0.000 2.246
W 2.246 2.246 0.000

[3]
5
Lattice="5.371 0.000 0.000 0.000 5.371 0.000 0.000 0.000 5.080" Properties=species:S:1:pos:R:3 comment="PBEsol CrCuSn2Hg, relaxed" ef_ev_per_atom=1.2577 dft_energy_ev_per_atom=-3.47 vol_a3_per_atom=29.30 pbc="T T T"
Cr 0.000 0.000 0.000
Cu 2.685 2.685 0.000
Sn 0.000 2.685 2.540
Sn 2.685 0.000 2.540
Hg 0.000 0.000 2.540